[1]
4
Lattice="5.019 0.000 0.000 2.510 4.347 0.000 2.510 1.449 4.098" Properties=species:S:1:pos:R:3 comment="PBE LaTbCuRh, optimized geometry" total_energy_ev_per_atom=-5.71 formation_enthalpy_0k_ev_per_atom=-0.46 relative_energy_mev_per_atom=55 spacegroup="F-43m, No. 216" pbc="T T T"
Tb 0.000 0.000 0.000
La 5.019 2.898 2.049
Rh 7.529 4.347 3.074
Cu 2.510 1.449 1.025

[2]
4
Lattice="3.880 0.000 0.000 0.000 4.575 0.000 -1.940 0.000 5.193" Properties=species:S:1:pos:R:3 comment="PBE LaTbCuRh, optimized geometry" total_energy_ev_per_atom=-5.77 formation_enthalpy_0k_ev_per_atom=-0.52 relative_energy_mev_per_atom=0 spacegroup="Amm2, No. 38" pbc="T T T"
La 0.000 0.000 1.516
Rh 0.000 0.000 4.298
Cu 1.940 2.287 0.763
Tb 1.940 2.287 3.809

[3]
5
Lattice="-2.022 0.624 -4.800 1.278 -4.308 -1.098 -4.618 -1.806 1.711" Properties=species:S:1:pos:R:3 comment="PBE La2CuTcRh, optimized geometry" total_energy_ev_per_atom=-5.89 formation_enthalpy_0k_ev_per_atom=0.44 spacegroup="P4/mmm, No. 123" pbc="T T T"
Cu 0.639 -2.154 -0.549
Rh -2.681 -2.745 -2.094
Tc 0.000 0.000 0.000
La -1.011 0.312 -2.400
La -2.309 -0.903 0.855

[4]
4
Lattice="-3.541 -3.344 0.692 -1.820 -2.485 -3.836 1.001 -4.787 -0.528" Properties=species:S:1:pos:R:3 comment="PBE LaTlCuRh, optimized geometry" total_energy_ev_per_atom=-4.91 formation_enthalpy_0k_ev_per_atom=-0.23 spacegroup="F-43m, No. 216" pbc="T T T"
Rh -3.270 -7.962 -2.754
Tl -2.180 -5.308 -1.836
Cu -1.090 -2.654 -0.918
La 0.000 0.000 0.000

[5]
4
Lattice="-3.498 3.494 0.590 -4.635 -1.306 1.267 -1.727 1.051 4.551" Properties=species:S:1:pos:R:3 comment="PBE LaTmCuRh, optimized geometry" total_energy_ev_per_atom=-5.70 formation_enthalpy_0k_ev_per_atom=-0.49 spacegroup="F-43m, No. 216" pbc="T T T"
Tm 0.000 0.000 0.000
Rh -7.395 2.429 4.806
La -4.930 1.620 3.204
Cu -2.465 0.810 1.602

[6]
10
Lattice="6.724 0.000 0.000 0.000 6.724 0.000 3.362 3.362 4.755" Properties=species:S:1:pos:R:3 comment="PBE La2UCuRh6, optimized geometry" total_energy_ev_per_atom=-7.09 formation_enthalpy_0k_ev_per_atom=-0.15 spacegroup="Fm-3m, No. 225" pbc="T T T"
Rh 5.056 1.668 0.000
Rh 8.418 8.417 4.755
Rh 6.724 6.724 2.360
Rh 3.362 3.362 2.395
Rh 1.669 5.055 0.000
Rh 1.669 1.668 0.000
Cu 0.000 0.000 0.000
La 6.724 3.362 2.377
La 3.362 6.724 2.377
U 3.362 3.362 0.000

[7]
5
Lattice="-3.297 -3.438 0.704 1.048 0.028 5.047 -3.370 3.371 0.681" Properties=species:S:1:pos:R:3 comment="PBE LaCuRh2W, optimized geometry" total_energy_ev_per_atom=-5.30 formation_enthalpy_0k_ev_per_atom=2.03 spacegroup="P4/mmm, No. 123" pbc="T T T"
Rh -1.649 -1.719 0.352
Rh -1.685 1.686 0.341
Cu -2.810 -0.019 3.216
La 0.000 0.000 0.000
W 0.524 0.014 2.523

[8]
5
Lattice="-1.998 -3.052 -4.104 4.352 -0.304 -1.893 0.953 -4.551 2.921" Properties=species:S:1:pos:R:3 comment="PBE La2YCuRh, optimized geometry" total_energy_ev_per_atom=-5.34 formation_enthalpy_0k_ev_per_atom=0.21 spacegroup="P4/mmm, No. 123" pbc="T T T"
Y 1.653 -3.954 -1.538
La -0.999 -1.526 -2.052
La 0.476 -2.276 1.460
Cu 0.000 0.000 0.000
Rh 2.176 -0.152 -0.946